# TaCdSi2

An optimized crystal structure of TaCdSi2 (PBE-GGA, Alexandria).

Summary:
Uncorrected formation energy in eV per atom: 0.584
Spin magnetization in μB per atom: 0.00
Mass density in Mg/m³: 7.69
Final energy in eV per atom: -5.32

a = 7.2290 Å, b = 7.2290 Å, c = 5.7750 Å
α = 90.00°, β = 90.00°, γ = 90.00°
With the nearest neighbours (Å) after each atom.
Space group I-42d (No. 122)
Unique sites:
Ta1 0.0000 0.0000 0.0000  4 Si 2.59, 2 Cd 2.89
Cd1 0.0000 0.0000 0.5000  4 Si 2.73, 2 Ta 2.89
Si1 0.2360 0.2500 0.1250  2 Ta 2.59, 2 Cd 2.73, 2 Si 2.89


# Ta2TlCdSi

An optimized crystal structure of Ta2TlCdSi (PBE-GGA, Alexandria).

Summary:
Uncorrected formation energy in eV per atom: 2.183
Spin magnetization in μB per atom: 0.55
Mass density in Mg/m³: 8.45
Final energy in eV per atom: -4.30

a = 5.2255 Å, b = 5.2255 Å, c = 5.0882 Å
α = 90.00°, β = 90.00°, γ = 90.00°
With the nearest neighbours (Å) after each atom.
Space group P4/mmm (No. 123)
Unique sites:
Ta1 0.0000 0.5000 0.0000  2 Tl 2.61
Tl1 0.0000 0.0000 0.0000  2 Cd 2.54, 4 Ta 2.61
Cd1 0.0000 0.0000 0.5000  2 Tl 2.54
Si1 0.5000 0.5000 0.5000  8 Ta 3.65, 4 Cd 3.69